A relaxed KIn2PbBr6 crystal, computed with PBE.

Cell lengths 7.7921, 7.7921, 21.9274 Å; angles 90.00, 90.00, 120.00 degrees
With the nearest neighbours (Å) after each atom.
Space group R3 (No. 146, hexagonal axes)
Unique sites:
K: 0.0000 0.0000 0.0000 (multiplicity 3)  6 Br 3.33-3.45
In: 0.0000 0.0000 0.2930 (multiplicity 3)  6 Br 3.14-3.25
In: 0.0000 0.0000 0.8041 (multiplicity 3)  6 Br 2.97-3.00
Pb: 0.0000 0.0000 0.4848 (multiplicity 3)  6 Br 3.07-3.10
Br: 0.0015 0.6941 0.8865 (multiplicity 9)  2 In 3.00-3.14, 1 Pb 3.10
Br: 0.0083 0.3945 0.0617 (multiplicity 9)  2 In 2.97-3.25, 1 Pb 3.07

Its energy relative to the elements, uncorrected is -0.948 eV per atom.

A relaxed LiB2P2 crystal, computed with PBE.

Cell lengths 3.8972, 3.8972, 7.4758 Å; angles 90.00, 90.00, 90.00 degrees
With the nearest neighbours (Å) after each atom.
Space group I4/mmm (No. 139)
Unique sites:
Li: 0.0000 0.0000 0.0000 (multiplicity 2)  2 P 2.60, 8 B 2.70
B: 0.0000 0.5000 0.2500 (multiplicity 4)  4 P 2.08
P: 0.0000 0.0000 0.3476 (multiplicity 4)  4 B 2.08, 1 P 2.28

The calculated formation energy comes out at 0.324 eV/atom. The distance to the lowest polymorph of the same formula is 0 meV/atom.

A relaxed Nd8SmDy3 crystal, computed with PBE.

Cell lengths 6.9250, 7.3681, 9.4283 Å; angles 67.00, 71.36, 74.65 degrees
With the nearest neighbours (Å) after each atom.
Space group P1 (No. 1)
Unique sites:
Nd: 0.0000 0.0000 0.0000 (multiplicity 1)  4 Dy 3.61-3.70, 8 Nd 3.62-3.70
Nd: 0.0053 0.4992 0.9992 (multiplicity 1)  1 Sm 3.60, 8 Nd 3.61-3.71, 3 Dy 3.62-3.71
Nd: 0.1158 0.7786 0.3878 (multiplicity 1)  4 Dy 3.60-3.66, 6 Nd 3.63-3.71, 2 Sm 3.67-3.70
Nd: 0.3361 0.3322 0.6651 (multiplicity 1)  7 Nd 3.60-3.70, 1 Sm 3.63, 4 Dy 3.65-3.70
Nd: 0.4467 0.6126 0.0553 (multiplicity 1)  7 Nd 3.61-3.68, 4 Dy 3.62-3.70, 1 Sm 3.69
Nd: 0.6656 0.1658 0.3337 (multiplicity 1)  4 Dy 3.60-3.70, 2 Sm 3.62-3.63, 6 Nd 3.63-3.71
Nd: 0.7745 0.4473 0.7215 (multiplicity 1)  3 Dy 3.60-3.69, 8 Nd 3.60-3.71, 1 Sm 3.71
Nd: 0.7806 0.9436 0.7218 (multiplicity 1)  3 Dy 3.61-3.70, 8 Nd 3.62-3.70, 1 Sm 3.69
Sm: 0.1114 0.2784 0.3871 (multiplicity 1)  9 Nd 3.60-3.71, 3 Dy 3.62-3.67
Dy: 0.3350 0.8353 0.6643 (multiplicity 1)  10 Nd 3.60-3.70, 1 Sm 3.62, 1 Dy 3.67
Dy: 0.4466 0.1096 0.0569 (multiplicity 1)  10 Nd 3.60-3.70, 1 Dy 3.61, 1 Sm 3.67
Dy: 0.6676 0.6681 0.3331 (multiplicity 1)  9 Nd 3.60-3.71, 2 Dy 3.61-3.67, 1 Sm 3.62

The calculated formation energy comes out at 0.028 eV/atom.

A relaxed Mg2TaInGa crystal, computed with PBE.

Cell lengths 5.5161, 5.5161, 5.0358 Å; angles 90.00, 90.00, 90.00 degrees
With the nearest neighbours (Å) after each atom.
Space group P4/mmm (No. 123)
Unique sites:
Mg: 0.0000 0.5000 0.0000 (multiplicity 2)  2 Ta 2.76
Ta: 0.0000 0.0000 0.0000 (multiplicity 1)  2 Ga 2.52, 4 Mg 2.76
In: 0.5000 0.5000 0.5000 (multiplicity 1)  8 Mg 3.73, 4 Ga 3.90
Ga: 0.0000 0.0000 0.5000 (multiplicity 1)  2 Ta 2.52

The calculated formation energy comes out at 0.937 eV/atom.

A relaxed NaLa2SnIr crystal, computed with PBE.

Cell lengths 5.6497, 5.6497, 5.2004 Å; angles 90.00, 90.00, 90.00 degrees
With the nearest neighbours (Å) after each atom.
Space group P4/mmm (No. 123)
Unique sites:
Na: 0.0000 0.0000 0.0000 (multiplicity 1)  8 La 3.84, 4 Sn 3.99
La: 0.0000 0.5000 0.5000 (multiplicity 2)  2 Ir 2.82
Sn: 0.5000 0.5000 0.0000 (multiplicity 1)  2 Ir 2.60
Ir: 0.5000 0.5000 0.5000 (multiplicity 1)  2 Sn 2.60, 4 La 2.82

The calculated formation energy comes out at -0.362 eV/atom.

A relaxed RbLi2ScI6 crystal, computed with PBE.

Cell lengths 7.8180, 7.8219, 8.5031 Å; angles 62.65, 62.71, 60.08 degrees
With the nearest neighbours (Å) after each atom.
Space group P1 (No. 1)
Unique sites:
Rb: 0.0000 0.0000 0.0000 (multiplicity 1)  6 I 3.53-3.73
Li: 0.1988 0.1956 0.4080 (multiplicity 1)  5 I 2.91-3.25
Li: 0.7078 0.7078 0.8758 (multiplicity 1)  6 I 3.05-3.18
Sc: 0.5194 0.5197 0.4409 (multiplicity 1)  6 I 2.92
I: 0.1233 0.7625 0.6499 (multiplicity 1)  1 Sc 2.92, 2 Li 3.06-3.25
I: 0.3613 0.5273 0.1853 (multiplicity 1)  2 Li 2.92-3.18, 1 Sc 2.92
I: 0.4636 0.1232 0.6500 (multiplicity 1)  1 Sc 2.92, 2 Li 3.05-3.24
I: 0.5276 0.9252 0.1850 (multiplicity 1)  2 Li 2.91-3.18, 1 Sc 2.92
I: 0.7618 0.4642 0.6507 (multiplicity 1)  1 Sc 2.92, 1 Li 3.05
I: 0.9250 0.3614 0.1860 (multiplicity 1)  2 Li 2.92-3.18, 1 Sc 2.92

Its energy relative to the elements, uncorrected is -1.226 eV per atom.

A relaxed Tb2TmS4 crystal, computed with PBE.

Cell lengths 7.8110, 7.8568, 10.8860 Å; angles 90.00, 90.00, 90.00 degrees
With the nearest neighbours (Å) after each atom.
Space group Imma (No. 74)
Unique sites:
Tb: 0.0000 0.0000 0.0000 (multiplicity 4)  6 S 2.74-2.76
Tb: 0.2500 0.2500 0.2500 (multiplicity 4)  6 S 2.75-2.79
Tm: 0.2500 0.2500 0.7500 (multiplicity 4)  6 S 2.70-2.75
S: 0.0000 0.0045 0.7463 (multiplicity 8)  2 Tm 2.75, 3 Tb 2.76-2.79
S: 0.2445 0.2500 0.9977 (multiplicity 8)  1 Tm 2.70, 3 Tb 2.74-2.75

The distance to the lowest polymorph of the same formula is 0 meV/atom. Its energy relative to the elements, uncorrected is -2.059 eV per atom.

A relaxed RbCrS3 crystal, computed with PBE.

Cell lengths 5.3580, 5.3580, 5.3580 Å; angles 90.00, 90.00, 90.00 degrees
With the nearest neighbours (Å) after each atom.
Space group Pm-3m (No. 221)
Unique sites:
Rb: 0.0000 0.0000 0.0000 (multiplicity 1)  6 S 2.68
Cr: 0.5000 0.5000 0.5000 (multiplicity 1)  12 S 3.79
S: 0.0000 0.0000 0.5000 (multiplicity 3)  2 Rb 2.68

The distance to the lowest polymorph of the same formula is 2234 meV/atom. Its energy relative to the elements, uncorrected is 1.496 eV per atom.

A relaxed PrHg5Pb2 crystal, computed with PBE.

Cell lengths 4.8550, 4.8550, 18.4230 Å; angles 90.00, 90.00, 90.00 degrees
With the nearest neighbours (Å) after each atom.
Space group I4/mmm (No. 139)
Unique sites:
Pr: 0.0000 0.0000 0.0000 (multiplicity 2)  12 Hg 3.30-3.43
Hg: 0.0000 0.0000 0.5000 (multiplicity 2)  8 Hg 3.30, 4 Pr 3.43
Hg: 0.0000 0.5000 0.1210 (multiplicity 8)  6 Hg 3.30-3.43, 2 Pr 3.30, 4 Pb 3.31-3.49
Pb: 0.0000 0.0000 0.2429 (multiplicity 4)  8 Hg 3.31-3.49, 4 Pb 3.44

The calculated formation energy comes out at -0.215 eV/atom. The distance to the lowest polymorph of the same formula is 0 meV/atom.

A relaxed TbSnRh crystal, computed with PBE.

Cell lengths 4.6715, 4.6715, 3.4549 Å; angles 90.00, 90.00, 120.00 degrees
With the nearest neighbours (Å) after each atom.
Space group P-6m2 (No. 187)
Unique sites:
Tb: 0.0000 0.0000 0.0000 (multiplicity 1)  6 Sn 3.20, 6 Rh 3.20, 2 Tb 3.45
Sn: 0.3333 0.6667 0.5000 (multiplicity 1)  3 Rh 2.70
Rh: 0.6667 0.3333 0.5000 (multiplicity 1)  3 Sn 2.70

The calculated formation energy comes out at -0.755 eV/atom.

A relaxed PmTc4Ge2 crystal, computed with PBE.

Cell lengths 4.1528, 14.4256, 4.1202 Å; angles 90.00, 90.00, 90.00 degrees
With the nearest neighbours (Å) after each atom.
Space group Cmmm (No. 65)
Unique sites:
Pm: 0.0000 0.0000 0.0000 (multiplicity 2)  8 Ge 3.19, 8 Tc 3.47-3.54
Tc: 0.0000 0.1936 0.5000 (multiplicity 4)  2 Ge 2.57, 4 Tc 2.58-2.64
Tc: 0.0000 0.3016 0.0000 (multiplicity 4)  4 Tc 2.56-2.58, 2 Ge 2.60
Ge: 0.0000 0.4113 0.5000 (multiplicity 4)  1 Ge 2.56, 4 Tc 2.57-2.60

The calculated formation energy comes out at -0.403 eV/atom.

A relaxed CrHg2I crystal, computed with PBE.

Cell lengths 7.7236, 7.7236, 7.7236 Å; angles 90.00, 90.00, 90.00 degrees
With the nearest neighbours (Å) after each atom.
Space group Fm-3m (No. 225)
Unique sites:
Cr: 0.0000 0.0000 0.0000 (multiplicity 4)  8 Hg 3.34
Hg: 0.2500 0.2500 0.2500 (multiplicity 8)  4 Cr 3.34, 4 I 3.34
I: 0.0000 0.0000 0.5000 (multiplicity 4)  8 Hg 3.34

The distance to the lowest polymorph of the same formula is 444 meV/atom. Its energy relative to the elements, uncorrected is 0.566 eV per atom.